! Sc4TlCdO (PBE, optimized geometry); values from VASP
&SYSTEM
  ibrav = 0, nat = 14, ntyp = 4
/
ATOMIC_SPECIES
Sc 44.96 Sc.upf
Tl 204.38 Tl.upf
Cd 112.41 Cd.upf
O 16.00 O.upf
CELL_PARAMETERS angstrom
3.0881 -7.5472 0.0000
3.0881 7.5472 0.0000
0.0000 0.0000 6.1749
ATOMIC_POSITIONS angstrom
Sc 1.5440 3.7736 0.0000
Sc 1.5440 3.7736 3.0874
Sc 3.0881 6.2778 4.6311
Sc 3.0881 1.2986 4.6311
Sc 1.5440 -3.7736 0.0000
Sc 1.5440 -3.7736 3.0874
Sc 3.0881 -1.2986 1.5437
Sc 3.0881 -6.2778 1.5437
Tl 3.0881 1.6538 1.5437
Tl 3.0881 -1.6538 4.6311
Cd 3.0881 5.8499 1.5437
Cd 3.0881 -5.8499 4.6311
O 3.0881 3.7737 4.6311
O 3.0881 -3.7737 1.5437
! - Energy relative to the elements, uncorrected: -0.984 eV per atom
! - ρ: 5.91 g/cm³
! - Calculated volume: 287.8 Å³ per cell
! - SG: No. 63
! - Crystal system: orthorhombic

! Er4TlBi3 (PBE, optimized geometry); values from VASP
&SYSTEM
  ibrav = 0, nat = 8, ntyp = 3
/
ATOMIC_SPECIES
Er 167.26 Er.upf
Tl 204.38 Tl.upf
Bi 208.98 Bi.upf
CELL_PARAMETERS angstrom
6.2697 0.0000 0.0000
0.0000 6.2697 0.0000
0.0000 0.0000 6.2697
ATOMIC_POSITIONS angstrom
Er 0.0000 0.0000 0.0000
Er 0.0000 3.1348 3.1348
Er 3.1348 0.0000 3.1348
Er 3.1348 3.1348 0.0000
Tl 3.1348 3.1348 3.1348
Bi 0.0000 0.0000 3.1348
Bi 0.0000 3.1348 0.0000
Bi 3.1348 0.0000 0.0000
! - ρ: 10.11 g/cm³
! - Calculated volume: 246.5 Å³ per cell
! - ΔE_f: -57 kJ per mole of atoms
! - SG: No. 221
! - Crystal system: cubic

! Na2MnCdSb (PBE, optimized geometry); values from VASP
&SYSTEM
  ibrav = 0, nat = 5, ntyp = 4
/
ATOMIC_SPECIES
Na 22.99 Na.upf
Mn 54.94 Mn.upf
Cd 112.41 Cd.upf
Sb 121.76 Sb.upf
CELL_PARAMETERS angstrom
5.9316 0.0000 0.0000
0.0000 5.9316 0.0000
0.0000 0.0000 5.0969
ATOMIC_POSITIONS angstrom
Na 0.0000 2.9658 0.0000
Na 2.9658 0.0000 0.0000
Mn 0.0000 0.0000 2.5485
Cd 2.9658 2.9658 2.5485
Sb 0.0000 0.0000 0.0000
! - Energy relative to the elements, uncorrected: 0.221 eV per atom
! - ρ: 3.10 g/cm³
! - Calculated volume: 179.3 Å³ per cell
! - SG: No. 123
! - Crystal system: tetragonal

! CdWCl (PBE, optimized geometry); values from VASP
&SYSTEM
  ibrav = 0, nat = 3, ntyp = 3
/
ATOMIC_SPECIES
Cd 112.41 Cd.upf
W 183.84 W.upf
Cl 35.45 Cl.upf
CELL_PARAMETERS angstrom
0.0000 2.6207 8.5956
1.4613 0.0000 8.5956
1.4613 2.6207 0.0000
ATOMIC_POSITIONS angstrom
Cd 0.0000 0.0000 0.0000
W 1.4613 2.6207 6.0064
Cl 1.4613 2.6207 12.6434
! - Excess energy over the best structure of this formula in the dataset: 0.186 eV per atom
! - Energy relative to the elements, uncorrected: 0.408 eV per atom
! - ρ: 8.37 g/cm³
! - Calculated volume: 65.8 Å³ per cell
! - SG: No. 42
! - Crystal system: orthorhombic

Among the records above, which one has the highest calculated volume?
Sc4TlCdO

Number 1 is which compound?
Sc4TlCdO